Model w:
Computed, not measured: Ce3Lu after structural relaxation at the PBE-GGA level of DFT.

abc: 3.294 4.415 7.565
angles: 90.00 90.00 90.00
Positions (direct):
Ce  0.000  0.000  0.000
Ce  0.000  0.500  0.236
Ce  0.500  0.500  0.794
Lu  0.500  0.000  0.486

Its size of the total moment is 0.00 μB/cell.

---

Model x:
Computed, not measured: Ce3Lu after structural relaxation at the PBE-GGA level of DFT.

abc: 5.928 5.928 5.928
angles: 132.56 132.56 69.34
Positions (direct):
Ce  0.000  0.000  0.000
Ce  0.250  0.750  0.500
Ce  0.750  0.250  0.500
Lu  0.500  0.500  0.000

Its size of the total moment is 0.02 μB/cell.

---

Most stable to least stable: model x, model w

---

Model w:
Computed, not measured: Ce3Lu after structural relaxation at the PBE-GGA level of DFT.

abc: 5.550 5.550 5.550
angles: 60.00 60.00 60.00
Positions (direct):
Ce  0.000  0.000  0.000
Ce  0.250  0.250  0.250
Ce  0.750  0.750  0.750
Lu  0.500  0.500  0.500

Its size of the total moment is 4.74 μB/cell.

---

Model x:
Computed, not measured: Ce3Lu after structural relaxation at the PBE-GGA level of DFT.

abc: 6.559 6.559 6.559
angles: 150.18 62.62 126.32
Positions (direct):
Ce  0.000  0.000  0.000
Ce  0.365  0.625  0.739
Ce  0.886  0.625  0.261
Lu  0.500  0.000  0.500

Its size of the total moment is 0.10 μB/cell.

---

Most stable to least stable: model x, model w

---

Model w:
Computed, not measured: CeLu2 after structural relaxation at the PBE-GGA level of DFT.

abc: 7.778 7.778 7.778
angles: 154.28 154.28 36.70
Positions (direct):
Ce  0.000  0.000  0.000
Lu  0.334  0.334  0.000
Lu  0.666  0.666  0.000

Its size of the total moment is 0.83 μB/cell.

---

Model x:
Computed, not measured: CeLu2 after structural relaxation at the PBE-GGA level of DFT.

abc: 6.559 6.559 6.559
angles: 60.00 60.00 60.00
Positions (direct):
Ce  0.125  0.125  0.125
Ce  0.875  0.875  0.875
Lu  0.000  0.500  0.500
Lu  0.500  0.000  0.500
Lu  0.500  0.500  0.000
Lu  0.500  0.500  0.500

Its size of the total moment is 8.07 μB/cell.

---

Most stable to least stable: model w, model x

---

Model w:
Computed, not measured: CeLu after structural relaxation at the PBE-GGA level of DFT.

abc: 3.437 4.873 6.867
angles: 90.00 90.00 90.00
Positions (direct):
Ce  0.250  0.250  0.113
Ce  0.750  0.750  0.887
Lu  0.250  0.250  0.626
Lu  0.750  0.750  0.374

Its size of the total moment is 0.00 μB/cell.

---

Model x:
Computed, not measured: CeLu after structural relaxation at the PBE-GGA level of DFT.

abc: 3.933 3.933 3.933
angles: 90.00 90.00 90.00
Positions (direct):
Ce  0.000  0.000  0.000
Lu  0.500  0.500  0.500

Its size of the total moment is 0.64 μB/cell.

---

Most stable to least stable: model w, model x

---

Model w:
Computed, not measured: Ce2LuMg after structural relaxation at the PBE-GGA level of DFT.

abc: 4.678 4.678 5.097
angles: 90.00 90.00 90.00
Positions (direct):
Ce  0.000  0.500  0.000
Ce  0.500  0.000  0.000
Lu  0.000  0.000  0.500
Mg  0.500  0.500  0.500

Its size of the total moment is 2.09 μB/cell.

---

Model x:
Computed, not measured: Ce2LuMg after structural relaxation at the PBE-GGA level of DFT.

abc: 3.293 3.293 10.317
angles: 90.00 90.00 90.00
Positions (direct):
Ce  0.000  0.000  0.244
Ce  0.000  0.000  0.756
Lu  0.500  0.500  0.500
Mg  0.500  0.500  0.000

Its size of the total moment is 1.81 μB/cell.

---

Most stable to least stable: model x, model w

---

Model w:
Computed, not measured: CeLu2Mg after structural relaxation at the PBE-GGA level of DFT.

abc: 11.237 11.237 11.237
angles: 17.45 17.45 17.45
Positions (direct):
Ce  0.000  0.000  0.000
Lu  0.249  0.249  0.249
Lu  0.751  0.751  0.751
Mg  0.500  0.500  0.500

Its size of the total moment is 0.51 μB/cell.

---

Model x:
Computed, not measured: CeLu2Mg after structural relaxation at the PBE-GGA level of DFT.

abc: 4.847 4.847 4.827
angles: 90.00 90.00 90.00
Positions (direct):
Ce  0.000  0.000  0.000
Lu  0.000  0.500  0.500
Lu  0.500  0.000  0.500
Mg  0.500  0.500  0.000

Its size of the total moment is 1.68 μB/cell.

---

Model y:
Computed, not measured: CeLu2Mg after structural relaxation at the PBE-GGA level of DFT.

abc: 5.424 5.424 5.424
angles: 60.00 60.00 60.00
Positions (direct):
Ce  0.000  0.000  0.000
Lu  0.250  0.250  0.250
Lu  0.750  0.750  0.750
Mg  0.500  0.500  0.500

Its size of the total moment is 2.02 μB/cell.

---

Model z:
Computed, not measured: CeLu2Mg after structural relaxation at the PBE-GGA level of DFT.

abc: 3.461 3.461 9.234
angles: 90.00 90.00 90.00
Positions (direct):
Ce  0.000  0.000  0.000
Lu  0.500  0.500  0.257
Lu  0.500  0.500  0.743
Mg  0.000  0.000  0.500

Its size of the total moment is 0.21 μB/cell.

---

Most stable to least stable: model z, model w, model x, model y

---

Model w:
Computed, not measured: CeLuN after structural relaxation at the PBE-GGA level of DFT.

abc: 4.245 4.245 4.245
angles: 60.00 60.00 60.00
Positions (direct):
Ce  0.000  0.000  0.000
Lu  0.500  0.500  0.500
N  0.250  0.250  0.250

Its size of the total moment is 0.79 μB/cell.

---

Model x:
Computed, not measured: CeLuN after structural relaxation at the PBE-GGA level of DFT.

abc: 3.402 3.402 6.225
angles: 90.00 90.00 120.00
Positions (direct):
Ce  0.000  0.000  0.000
Lu  0.333  0.667  0.442
N  0.667  0.333  0.251

Its size of the total moment is 0.39 μB/cell.

---

Model y:
Computed, not measured: CeLuN after structural relaxation at the PBE-GGA level of DFT.

abc: 5.106 5.106 5.106
angles: 124.93 124.93 81.66
Positions (direct):
Ce  0.000  0.000  0.000
Lu  0.480  0.480  0.000
N  0.742  0.742  0.000

Its size of the total moment is 0.85 μB/cell.

---

Most stable to least stable: model x, model w, model y

---

Model w:
Computed, not measured: CeNd2Lu after structural relaxation at the PBE-GGA level of DFT.

abc: 5.730 5.730 5.730
angles: 60.00 60.00 60.00
Positions (direct):
Ce  0.000  0.000  0.000
Nd  0.250  0.250  0.250
Nd  0.750  0.750  0.750
Lu  0.500  0.500  0.500

Its size of the total moment is 3.10 μB/cell.

---

Model x:
Computed, not measured: CeNd2Lu after structural relaxation at the PBE-GGA level of DFT.

abc: 5.074 5.074 5.028
angles: 90.00 90.00 90.00
Positions (direct):
Ce  0.000  0.000  0.000
Nd  0.000  0.500  0.500
Nd  0.500  0.000  0.500
Lu  0.500  0.500  0.000

Its size of the total moment is 0.71 μB/cell.

---

Model y:
Computed, not measured: CeNd2Lu after structural relaxation at the PBE-GGA level of DFT.

abc: 12.623 12.623 12.623
angles: 15.73 15.73 15.73
Positions (direct):
Ce  0.000  0.000  0.000
Nd  0.089  0.089  0.089
Nd  0.911  0.911  0.911
Lu  0.500  0.500  0.500

Its size of the total moment is 0.80 μB/cell.

---

Most stable to least stable: model x, model y, model w

---

Model w:
Computed, not measured: Ce2LuPa after structural relaxation at the PBE-GGA level of DFT.

abc: 5.387 5.387 5.387
angles: 60.00 60.00 60.00
Positions (direct):
Ce  0.250  0.250  0.250
Ce  0.750  0.750  0.750
Lu  0.000  0.000  0.000
Pa  0.500  0.500  0.500

Its size of the total moment is 2.47 μB/cell.

---

Model x:
Computed, not measured: Ce2LuPa after structural relaxation at the PBE-GGA level of DFT.

abc: 3.350 3.350 9.731
angles: 90.00 90.00 90.00
Positions (direct):
Ce  0.000  0.000  0.237
Ce  0.000  0.000  0.763
Lu  0.500  0.500  0.500
Pa  0.500  0.500  0.000

Its size of the total moment is 0.00 μB/cell.

---

Model y:
Computed, not measured: Ce2LuPa after structural relaxation at the PBE-GGA level of DFT.

abc: 4.774 4.774 4.703
angles: 90.00 90.00 90.00
Positions (direct):
Ce  0.000  0.500  0.000
Ce  0.500  0.000  0.000
Lu  0.000  0.000  0.500
Pa  0.500  0.500  0.500

Its size of the total moment is 0.00 μB/cell.

---

Most stable to least stable: model x, model y, model w

---

Model w:
Computed, not measured: CeLuPb after structural relaxation at the PBE-GGA level of DFT.

abc: 5.348 5.348 3.636
angles: 90.00 90.00 120.00
Positions (direct):
Ce  0.000  0.000  0.000
Lu  0.333  0.667  0.477
Pb  0.667  0.333  0.568

Its size of the total moment is 1.91 μB/cell.

---

Model x:
Computed, not measured: CeLuPb after structural relaxation at the PBE-GGA level of DFT.

abc: 7.546 7.546 7.546
angles: 152.92 152.92 38.67
Positions (direct):
Ce  0.000  0.000  0.000
Lu  0.319  0.319  0.000
Pb  0.665  0.665  0.000

Its size of the total moment is 1.47 μB/cell.

---

Most stable to least stable: model x, model w

---

Model w:
Computed, not measured: CeLuPd2 after structural relaxation at the PBE-GGA level of DFT.

abc: 4.975 4.975 4.975
angles: 60.00 60.00 60.00
Positions (direct):
Ce  0.000  0.000  0.000
Lu  0.500  0.500  0.500
Pd  0.250  0.250  0.250
Pd  0.750  0.750  0.750

Its size of the total moment is 0.65 μB/cell.

---

Model x:
Computed, not measured: CeLuPd2 after structural relaxation at the PBE-GGA level of DFT.

abc: 3.408 3.408 7.374
angles: 90.00 90.00 90.00
Positions (direct):
Ce  0.000  0.000  0.000
Lu  0.000  0.000  0.500
Pd  0.500  0.500  0.275
Pd  0.500  0.500  0.725

Its size of the total moment is 0.95 μB/cell.

---

Most stable to least stable: model x, model w

---

Model w:
Computed, not measured: Ce2LuPd after structural relaxation at the PBE-GGA level of DFT.

abc: 11.487 11.487 11.487
angles: 16.03 16.03 16.03
Positions (direct):
Ce  0.078  0.078  0.078
Ce  0.922  0.922  0.922
Lu  0.500  0.500  0.500
Pd  0.000  0.000  0.000

Its size of the total moment is 0.01 μB/cell.

---

Model x:
Computed, not measured: Ce2LuPd after structural relaxation at the PBE-GGA level of DFT.

abc: 3.737 3.737 7.551
angles: 90.00 90.00 90.00
Positions (direct):
Ce  0.000  0.000  0.203
Ce  0.000  0.000  0.797
Lu  0.500  0.500  0.500
Pd  0.500  0.500  0.000

Its size of the total moment is 1.49 μB/cell.

---

Most stable to least stable: model x, model w